Record 1
# CuAg (PBE, optimized geometry)
data_CuAg
_cell_length_a 7.844
_cell_length_b 7.844
_cell_length_c 4.291
_cell_angle_alpha 90.00
_cell_angle_beta 90.00
_cell_angle_gamma 90.00
_space_group_name_H-M_alt 'P 4/m'
_space_group_IT_number 83
loop_
_space_group_symop_operation_xyz
'x,y,z'
'-x,-y,-z'
'-y,x,z'
'y,-x,-z'
'-x,-y,z'
'x,y,-z'
'y,-x,z'
'-y,x,-z'
loop_
_atom_site_label
_atom_site_type_symbol
_atom_site_fract_x
_atom_site_fract_y
_atom_site_fract_z
Cu1 Cu 0.045 0.226 0.000
Cu2 Cu 0.106 0.796 0.500
Ag1 Ag 0.163 0.433 0.500
Ag2 Ag 0.276 0.629 0.000
# ΔE_f: 38 kJ/mol of formula units
# Total moment: 0.00 μB per formula unit
# ρ: 8.6 g/cm³

---

Record 2
# CuAg (PBE, optimized geometry)
data_CuAg
_cell_length_a 2.8098
_cell_length_b 2.8098
_cell_length_c 8.9127
_cell_angle_alpha 90.00
_cell_angle_beta 90.00
_cell_angle_gamma 120.00
_space_group_name_H-M_alt 'P -3 m 1'
_space_group_IT_number 164
_space_group_name_Hall '-P 3 2"'
loop_
_atom_site_label
_atom_site_type_symbol
_atom_site_fract_x
_atom_site_fract_y
_atom_site_fract_z
Cu1 Cu 0.3333 0.6667 0.3920
Ag1 Ag 0.3333 0.6667 0.8584
# ΔE_f: 23 kJ/mol of formula units
# Total moment: 0.00 μB per formula unit
# ρ: 9.3 g/cm³

---

Record 3
# CuAg5 (PBE, optimized geometry)
data_CuAg5
_cell_length_a 4.068
_cell_length_b 12.218
_cell_length_c 4.124
_cell_angle_alpha 90.00
_cell_angle_beta 90.00
_cell_angle_gamma 90.00
_space_group_name_H-M_alt 'C m m m'
_space_group_IT_number 65
_space_group_name_Hall '-C 2 2'
loop_
_atom_site_label
_atom_site_type_symbol
_atom_site_fract_x
_atom_site_fract_y
_atom_site_fract_z
Cu1 Cu 0.000 0.000 0.000
Ag1 Ag 0.000 0.163 0.500
Ag2 Ag 0.000 0.338 0.000
Ag3 Ag 0.000 0.500 0.500
# ΔE_f: 41 kJ/mol of formula units
# Total moment: 0.00 μB per formula unit
# ρ: 9.8 g/cm³

---

Record 4
# CuAg5 (PBE, optimized geometry)
data_CuAg5
_cell_length_a 4.715
_cell_length_b 5.525
_cell_length_c 8.113
_cell_angle_alpha 90.00
_cell_angle_beta 90.00
_cell_angle_gamma 90.00
_space_group_name_H-M_alt 'I m m m'
_space_group_IT_number 71
_space_group_name_Hall '-I 2 2'
loop_
_atom_site_label
_atom_site_type_symbol
_atom_site_fract_x
_atom_site_fract_y
_atom_site_fract_z
Cu1 Cu 0.000 0.000 0.000
Ag1 Ag 0.000 0.251 0.333
Ag2 Ag 0.000 0.500 0.000
# ΔE_f: 97 kJ/mol of formula units
# Total moment: 0.00 μB per formula unit
# ρ: 9.5 g/cm³

---

Question: Look up the total moment of the third one.
Answer: 0.00 μB per formula unit